Entry from Alexandria via LeMat-Bulk: an optimized crystal structure of LaP2 (PBE).

## Properties
- Calculated formation energy: -1089 meV per atom

```
data_LaP2
_chemical_formula_sum 'La4 P8'
_symmetry_space_group_name_H-M 'P 1 21/c 1'
_symmetry_Int_Tables_number 14
_symmetry_space_group_name_Hall '-P 2ybc'
_cell_length_a 4.139
_cell_length_b 6.666
_cell_length_c 10.310
_cell_angle_alpha 90.00
_cell_angle_beta 105.83
_cell_angle_gamma 90.00
loop_
_atom_site_label
_atom_site_fract_x
_atom_site_fract_y
_atom_site_fract_z
La1 0.082 0.181 0.360
P1 0.309 0.621 0.454
P2 0.467 0.166 0.664
```